(1)
The following is a PBE-GGA calculation of a relaxed structure of K2Cd5Sn2, from Alexandria.

abc: 5.0964 5.0964 10.5733
angles: 90.00 90.00 90.00
Last column: nearest neighbours and their distance in Å.
Space group P4/mmm (No. 123)
One atom of each set of equivalent atoms:
K  0.0000  0.0000  0.0000 [1 per cell]  12 Cd 3.42-3.60
K  0.0000  0.0000  0.5000 [1 per cell]  8 Sn 3.91, 8 Cd 3.94
Cd  0.0000  0.5000  0.2153 [4 per cell]  2 Sn 2.95
Cd  0.5000  0.5000  0.0000 [1 per cell]  8 Cd 3.42, 4 K 3.60, 2 Sn 3.76
Sn  0.5000  0.5000  0.3561 [2 per cell]  4 Cd 2.95, 1 Sn 3.04

## Properties
DFT total energy (eV per atom): -1.6497
M_tot (μB/atom): 0.0000
Formation enthalpy at 0 K (meV per atom): -7.9

=====

(2)
The following is a PBE-GGA calculation of a relaxed structure of K3Cd9Sn2, from Alexandria.

abc: 5.0910 10.6536 14.8812
angles: 90.00 90.00 90.00
Last column: nearest neighbours and their distance in Å.
Space group Immm (No. 71)
One atom of each set of equivalent atoms:
K  0.0000  0.0000  0.0000 [2 per cell]  12 Cd 3.67-3.85
K  0.0000  0.0000  0.3004 [4 per cell]  14 Cd 3.54-3.91, 2 Sn 3.63
Cd  0.0000  0.2861  0.1375 [8 per cell]  4 Cd 3.02-3.06, 2 Sn 3.27
Cd  0.0000  0.3606  0.3338 [8 per cell]  4 Cd 2.97-3.03, 1 Sn 3.03
Cd  0.0000  0.5000  0.0000 [2 per cell]  4 Cd 3.06, 4 Sn 3.29
Sn  0.0000  0.1963  0.5000 [4 per cell]  8 Cd 3.03-3.29

## Properties
DFT total energy (eV per atom): -1.4806
M_tot (μB/atom): 0.0000
Formation enthalpy at 0 K (meV per atom): -85.3